4
Lattice="0.000 3.266 3.266 3.266 0.000 3.266 3.266 3.266 0.000" Properties=species:S:1:pos:R:3 comment="SCAN Cr2BiF, PBEsol geometry" volume_a3_per_atom=17.42 spacegroup=Fm-3m magnetic_moment_mub_per_cell=8.00 raw_formation_energy_ev_per_atom=-0.38 pbc="T T T"
Cr 1.633 1.633 1.633
Cr 4.899 4.899 4.899
Bi 0.000 0.000 0.000
F 3.266 3.266 3.266